[1]
## CaP2Br (PBE)

Data for a geometry-optimized CaP2Br structure.

Cell lengths 4.2114, 4.2378, 5.7844 Å; angles 90.00, 93.27, 90.00 degrees
With the nearest neighbours (Å) after each atom.
Space group P2/m (No. 10)
Unique sites:
Ca  0.0000  0.0000  0.0000 [1 per cell]  2 Br 2.89, 8 P 3.14-3.17
P  0.4920  0.5000  0.8239 [2 per cell]  1 P 2.03
Br  0.0000  0.0000  0.5000 [1 per cell]  2 Ca 2.89

Summary:
**Total moment**: 0.000 μB per atom
**Formation energy without anion corrections**: -2.2 eV per formula unit
**DOS(E_F)**: 2.53 states/eV/cell
**Relative energy among the computed polymorphs**: 0.286 eV per atom
**Total DFT energy (no corrections)**: -4.171 eV per atom



[2]
## Zn2RePb (PBE)

Data for a geometry-optimized Zn2RePb structure.

Cell lengths 9.7908, 3.4257, 4.4858 Å; angles 90.00, 109.30, 90.00 degrees
With the nearest neighbours (Å) after each atom.
Space group C2/m (No. 12)
Unique sites:
Zn  0.2316  0.0000  0.1982 [4 per cell]  2 Zn 2.58, 2 Re 2.74
Re  0.0000  0.5000  0.0000 [2 per cell]  6 Zn 2.74-3.04, 4 Pb 2.82
Pb  0.0000  0.0000  0.5000 [2 per cell]  4 Re 2.82, 6 Zn 3.00-3.05

Summary:
**Total moment**: 0.000 μB per atom
**Formation energy from the elements**: 0.5871 eV per atom
**DOS(E_F)**: 6.11 states/eV/cell
**Total DFT energy (no corrections)**: -4.089 eV per atom



[3]
## RbZr2TlSe (PBE)

Data for a geometry-optimized RbZr2TlSe structure.

Cell lengths 5.1305, 5.1305, 6.0358 Å; angles 90.00, 90.00, 90.00 degrees
With the nearest neighbours (Å) after each atom.
Space group P4/mmm (No. 123)
Unique sites:
Rb  0.0000  0.0000  0.0000 [1 per cell]  2 Se 3.02
Zr  0.0000  0.5000  0.5000 [2 per cell]  2 Se 2.57
Tl  0.5000  0.5000  0.0000 [1 per cell]  4 Rb 3.63, 8 Zr 3.96
Se  0.0000  0.0000  0.5000 [1 per cell]  4 Zr 2.57

Summary:
**Total moment**: 0.000 μB per atom
**Formation energy without anion corrections**: 1.1 eV per formula unit
**DOS(E_F)**: 5.85 states/eV/cell
**Total DFT energy (no corrections)**: -4.568 eV per atom



[4]
## SrMg7Al5 (PBE)

Data for a geometry-optimized SrMg7Al5 structure.

Cell lengths 5.6218, 9.9982, 10.0584 Å; angles 90.00, 90.00, 90.00 degrees
With the nearest neighbours (Å) after each atom.
Space group Imm2 (No. 44)
Unique sites:
Sr  0.0000  0.0000  0.0000 [2 per cell]  10 Mg 3.49-3.63, 10 Al 3.55-3.88
Mg  0.0000  0.0000  0.3573 [2 per cell]  5 Mg 2.98-3.25, 4 Al 3.08
Mg  0.0000  0.0000  0.6533 [2 per cell]  3 Mg 2.98-3.25, 6 Al 3.01-3.11
Mg  0.0000  0.2890  0.5051 [4 per cell]  5 Al 2.90-3.06, 3 Mg 3.08-3.15
Mg  0.0000  0.3524  0.0073 [4 per cell]  4 Mg 2.95-3.18, 5 Al 3.03-3.16
Mg  0.0000  0.5000  0.7277 [2 per cell]  4 Al 2.92, 6 Mg 3.08-3.18
Al  0.0000  0.5000  0.2852 [2 per cell]  4 Al 2.85, 6 Mg 3.06-3.16
Al  0.2502  0.2459  0.7556 [8 per cell]  3 Al 2.81-2.85, 7 Mg 2.90-3.09

Summary:
**Total moment**: 0.000 μB per atom
**Formation energy from the elements**: -0.0852 eV per atom
**DOS(E_F)**: 8.43 states/eV/cell
**Total DFT energy (no corrections)**: -2.513 eV per atom



[5]
## K2LaFe (PBE)

Data for a geometry-optimized K2LaFe structure.

Cell lengths 3.9918, 6.8162, 12.2550 Å; angles 90.00, 90.00, 90.00 degrees
With the nearest neighbours (Å) after each atom.
Space group Imm2 (No. 44)
Unique sites:
K  0.0000  0.0000  0.0000 [2 per cell]  2 La 3.96, 4 K 3.99-4.01, 4 Fe 4.06
K  0.0000  0.5000  0.1718 [2 per cell]  2 Fe 3.65, 4 K 3.99-4.01
La  0.0000  0.5000  0.8357 [2 per cell]  2 Fe 2.26
Fe  0.0000  0.0000  0.4220 [2 per cell]  2 La 2.26

Summary:
**Total moment**: 0.057 μB per atom
**Formation energy from the elements**: 0.6106 eV per atom
**DOS(E_F)**: 6.01 states/eV/cell
**Relative energy among the computed polymorphs**: 0.157 eV per atom
**Total DFT energy (no corrections)**: -3.286 eV per atom



[6]
## LaTcP2 (PBE)

Data for a geometry-optimized LaTcP2 structure.

Cell lengths 3.1450, 3.1450, 6.9785 Å; angles 90.00, 90.00, 90.00 degrees
With the nearest neighbours (Å) after each atom.
Space group P4/mmm (No. 123)
Unique sites:
La  0.0000  0.0000  0.0000 [1 per cell]  8 P 3.08, 4 La 3.14
Tc  0.0000  0.0000  0.5000 [1 per cell]  8 P 2.60
P  0.5000  0.5000  0.3061 [2 per cell]  4 Tc 2.60, 1 P 2.71

Summary:
**Total moment**: 0.000 μB per atom
**Formation energy from the elements**: -0.5028 eV per atom
**DOS(E_F)**: 2.78 states/eV/cell
**Relative energy among the computed polymorphs**: 0.409 eV per atom
**Total DFT energy (no corrections)**: -7.031 eV per atom



[7]
## TcPdRuPt (PBE)

Data for a geometry-optimized TcPdRuPt structure.

Cell lengths 2.7572, 2.7572, 7.8233 Å; angles 90.00, 90.00, 90.00 degrees
With the nearest neighbours (Å) after each atom.
Space group P4mm (No. 99)
Unique sites:
Tc  0.0000  0.0000  0.0000 [1 per cell]  4 Ru 2.60, 4 Tc 2.76, 4 Pt 2.79
Pd  0.0000  0.0000  0.4800 [1 per cell]  4 Pd 2.76, 4 Ru 2.82, 4 Pt 2.85
Ru  0.5000  0.5000  0.2197 [1 per cell]  4 Tc 2.60, 4 Ru 2.76, 4 Pd 2.82
Pt  0.5000  0.5000  0.7458 [1 per cell]  4 Pt 2.76, 4 Tc 2.79, 4 Pd 2.85

Summary:
**Total moment**: 0.000 μB per atom
**Formation energy from the elements**: -0.0711 eV per atom
**DOS(E_F)**: 4.35 states/eV/cell
**Total DFT energy (no corrections)**: -7.790 eV per atom



[8]
## CuSbIr2 (PBE)

Data for a geometry-optimized CuSbIr2 structure.

Cell lengths 8.6957, 3.0016, 4.9013 Å; angles 90.00, 100.26, 90.00 degrees
With the nearest neighbours (Å) after each atom.
Space group C2/m (No. 12)
Unique sites:
Cu  0.0000  0.0000  0.0000 [2 per cell]  6 Ir 2.66-2.72, 4 Sb 2.87
Sb  0.0000  0.5000  0.5000 [2 per cell]  6 Ir 2.70-2.77, 4 Cu 2.87, 2 Sb 3.00
Ir  0.2483  0.5000  0.2377 [4 per cell]  3 Cu 2.66-2.72, 3 Sb 2.70-2.77, 4 Ir 2.78-2.97

Summary:
**Total moment**: 0.000 μB per atom
**Formation energy without anion corrections**: 0.7 eV per formula unit
**DOS(E_F)**: 7.41 states/eV/cell
**Total DFT energy (no corrections)**: -6.321 eV per atom



[9]
## Li2ZnSbAu4 (PBE)

Data for a geometry-optimized Li2ZnSbAu4 structure.

Cell lengths 4.5490, 4.5490, 23.4250 Å; angles 90.00, 90.00, 120.00 degrees
With the nearest neighbours (Å) after each atom.
Space group R-3m (No. 166, hexagonal axes)
Unique sites:
Li  0.0000  0.0000  0.2487 [6 per cell]  7 Au 2.72-2.86
Zn  0.0000  0.0000  0.5000 [3 per cell]  8 Au 2.66-2.74
Sb  0.0000  0.0000  0.0000 [3 per cell]  8 Au 2.90-3.11
Au  0.0000  0.0000  0.1326 [6 per cell]  4 Li 2.72-2.86, 3 Zn 2.74
Au  0.0000  0.0000  0.3863 [6 per cell]  1 Zn 2.66, 3 Li 2.73, 3 Sb 2.90

Summary:
**Total moment**: 0.000 μB per atom
**Formation energy without anion corrections**: -2.9 eV per formula unit
**DOS(E_F)**: 7.16 states/eV/cell
**Total DFT energy (no corrections)**: -3.160 eV per atom



[10]
## Sc2NbAl (PBE)

Data for a geometry-optimized Sc2NbAl structure.

Cell lengths 2.9731, 2.9731, 9.0396 Å; angles 90.00, 90.00, 90.00 degrees
With the nearest neighbours (Å) after each atom.
Space group P4/mmm (No. 123)
Unique sites:
Sc  0.0000  0.0000  0.2460 [2 per cell]  4 Sc 2.97, 4 Al 3.06, 4 Nb 3.11
Nb  0.5000  0.5000  0.5000 [1 per cell]  4 Nb 2.97, 8 Sc 3.11
Al  0.5000  0.5000  0.0000 [1 per cell]  4 Al 2.97, 8 Sc 3.06

Summary:
**Total moment**: 0.000 μB per atom
**Formation energy from the elements**: -0.1552 eV per atom
**DOS(E_F)**: 3.59 states/eV/cell
**Total DFT energy (no corrections)**: -6.774 eV per atom



[11]
## YAl2In (PBE)

Data for a geometry-optimized YAl2In structure.

Cell lengths 3.6941, 3.6941, 6.6451 Å; angles 90.00, 90.00, 90.00 degrees
With the nearest neighbours (Å) after each atom.
Space group P4/mmm (No. 123)
Unique sites:
Y  0.0000  0.0000  0.0000 [1 per cell]  8 Al 3.23, 2 In 3.32
Al  0.5000  0.5000  0.2850 [2 per cell]  1 Al 2.86, 4 In 2.98
In  0.0000  0.0000  0.5000 [1 per cell]  8 Al 2.98, 2 Y 3.32

Summary:
**Total moment**: 0.005 μB per atom
**Formation energy from the elements**: -0.1495 eV per atom
**DOS(E_F)**: 3.17 states/eV/cell
**Total DFT energy (no corrections)**: -4.321 eV per atom



[12]
## TlIn2Hg (PBE)

Data for a geometry-optimized TlIn2Hg structure.

Cell lengths 7.6258, 7.6258, 7.6258 Å; angles 90.00, 90.00, 90.00 degrees
With the nearest neighbours (Å) after each atom.
Space group Fm-3m (No. 225)
Unique sites:
Tl  0.0000  0.0000  0.0000 [4 per cell]  8 In 3.30
In  0.2500  0.2500  0.2500 [8 per cell]  4 Hg 3.30, 4 Tl 3.30
Hg  0.0000  0.0000  0.5000 [4 per cell]  8 In 3.30

Summary:
**Total moment**: 0.000 μB per atom
**Formation energy from the elements**: 0.0259 eV per atom
**DOS(E_F)**: 9.36 states/eV/cell
**Total DFT energy (no corrections)**: -2.010 eV per atom



Q: The highest DOS(E_F) belongs to which entry?
A: TlIn2Hg



Copy entry 2 word for word.
## Zn2RePb (PBE)

Data for a geometry-optimized Zn2RePb structure.

Cell lengths 9.7908, 3.4257, 4.4858 Å; angles 90.00, 109.30, 90.00 degrees
With the nearest neighbours (Å) after each atom.
Space group C2/m (No. 12)
Unique sites:
Zn  0.2316  0.0000  0.1982 [4 per cell]  2 Zn 2.58, 2 Re 2.74
Re  0.0000  0.5000  0.0000 [2 per cell]  6 Zn 2.74-3.04, 4 Pb 2.82
Pb  0.0000  0.0000  0.5000 [2 per cell]  4 Re 2.82, 6 Zn 3.00-3.05

Summary:
**Total moment**: 0.000 μB per atom
**Formation energy from the elements**: 0.5871 eV per atom
**DOS(E_F)**: 6.11 states/eV/cell
**Total DFT energy (no corrections)**: -4.089 eV per atom



Repeat the eighth record exactly.
## CuSbIr2 (PBE)

Data for a geometry-optimized CuSbIr2 structure.

Cell lengths 8.6957, 3.0016, 4.9013 Å; angles 90.00, 100.26, 90.00 degrees
With the nearest neighbours (Å) after each atom.
Space group C2/m (No. 12)
Unique sites:
Cu  0.0000  0.0000  0.0000 [2 per cell]  6 Ir 2.66-2.72, 4 Sb 2.87
Sb  0.0000  0.5000  0.5000 [2 per cell]  6 Ir 2.70-2.77, 4 Cu 2.87, 2 Sb 3.00
Ir  0.2483  0.5000  0.2377 [4 per cell]  3 Cu 2.66-2.72, 3 Sb 2.70-2.77, 4 Ir 2.78-2.97

Summary:
**Total moment**: 0.000 μB per atom
**Formation energy without anion corrections**: 0.7 eV per formula unit
**DOS(E_F)**: 7.41 states/eV/cell
**Total DFT energy (no corrections)**: -6.321 eV per atom